[1]
Computed, not measured: AlRe2As after structural relaxation at the PBEsol level of DFT.

The structure in extended XYZ format:
```
16
Lattice="6.081 0.000 0.000 0.000 6.081 0.000 0.000 0.000 6.081" Properties=species:S:1:pos:R:3 pbc="T T T"
Al 0.000 0.000 0.000
Al 0.000 3.041 3.041
Al 3.041 0.000 3.041
Al 3.041 3.041 0.000
Re 1.520 1.520 1.520
Re 1.520 1.520 4.561
Re 1.520 4.561 1.520
Re 1.520 4.561 4.561
Re 4.561 1.520 1.520
Re 4.561 1.520 4.561
Re 4.561 4.561 1.520
Re 4.561 4.561 4.561
As 0.000 0.000 3.041
As 0.000 3.041 0.000
As 3.041 0.000 0.000
As 3.041 3.041 3.041
```

Output
- ΔE to the lowest computed polymorph (eV/atom) = 0.000
- energy relative to the elements (meV/atom) = 167
- M_tot (μB per atom) = 0.0000

[2]
Computed, not measured: AlRe2As after structural relaxation at the PBEsol level of DFT.

The structure in extended XYZ format:
```
8
Lattice="2.978 0.000 0.000 0.000 4.788 0.000 0.000 0.000 8.339" Properties=species:S:1:pos:R:3 pbc="T T T"
Al 0.000 0.000 0.000
Al 1.489 2.394 4.170
Re 0.000 2.394 1.918
Re 0.000 2.394 6.422
Re 1.489 0.000 2.252
Re 1.489 0.000 6.087
As 0.000 0.000 4.170
As 1.489 2.394 0.000
```

Output
- ΔE to the lowest computed polymorph (eV/atom) = 0.123
- energy relative to the elements (meV/atom) = 290
- M_tot (μB per atom) = 0.0000

[3]
Computed, not measured: Al3ReAs after structural relaxation at the PBEsol level of DFT.

The structure in extended XYZ format:
```
5
Lattice="4.738 0.000 0.000 0.000 4.738 0.000 0.000 0.000 4.738" Properties=species:S:1:pos:R:3 pbc="T T T"
Al 0.000 0.000 2.369
Al 0.000 2.369 0.000
Al 2.369 0.000 0.000
Re 0.000 0.000 0.000
As 2.369 2.369 2.369
```

Output
- energy relative to the elements (meV/atom) = 692
- M_tot (μB per atom) = 0.0003

[4]
Computed, not measured: AlReAsSe2 after structural relaxation at the PBEsol level of DFT.

The structure in extended XYZ format:
```
5
Lattice="4.895 0.000 0.000 0.000 4.895 0.000 0.000 0.000 4.761" Properties=species:S:1:pos:R:3 pbc="T T T"
Al 0.000 0.000 0.000
Re 2.447 2.447 2.380
As 2.447 2.447 0.000
Se 0.000 2.447 2.380
Se 2.447 0.000 2.380
```

Output
- calculated total energy (eV per cell) = -27.32
- M_tot (μB per atom) = 0.0001

[5]
Computed, not measured: AlAsRh2 after structural relaxation at the PBEsol level of DFT.

The structure in extended XYZ format:
```
8
Lattice="3.290 0.000 0.000 0.000 3.627 0.000 0.000 0.000 9.801" Properties=species:S:1:pos:R:3 pbc="T T T"
Al 0.000 0.000 0.000
Al 1.645 1.813 4.900
As 0.000 1.813 2.472
As 1.645 0.000 7.372
Rh 0.000 0.000 5.596
Rh 0.000 1.813 7.976
Rh 1.645 0.000 3.075
Rh 1.645 1.813 0.696
```

Output
- energy relative to the elements (meV/atom) = -540
- M_tot (μB per atom) = 0.0000

[6]
Computed, not measured: Al2AsRh after structural relaxation at the PBEsol level of DFT.

The structure in extended XYZ format:
```
8
Lattice="3.999 0.000 0.000 0.000 3.436 0.000 0.000 0.000 9.101" Properties=species:S:1:pos:R:3 pbc="T T T"
Al 0.000 0.000 0.000
Al 0.000 1.718 4.550
Al 2.000 0.000 2.641
Al 2.000 1.718 7.192
As 0.000 0.000 6.629
As 0.000 1.718 2.079
Rh 2.000 0.000 5.149
Rh 2.000 1.718 0.598
```

Output
- energy relative to the elements (meV/atom) = -432
- M_tot (μB per atom) = 0.0000

[7]
Computed, not measured: Al2AsRh after structural relaxation at the PBEsol level of DFT.

The structure in extended XYZ format:
```
4
Lattice="3.249 0.000 0.000 0.000 3.299 0.000 0.000 0.000 5.491" Properties=species:S:1:pos:R:3 pbc="T T T"
Al 0.000 0.000 1.344
Al 0.000 0.000 4.146
As 1.624 1.650 2.745
Rh 1.624 1.650 0.000
```

Output
- energy relative to the elements (meV/atom) = -397
- M_tot (μB per atom) = 0.0000

[8]
Computed, not measured: Al2AsRh after structural relaxation at the PBEsol level of DFT.

The structure in extended XYZ format:
```
8
Lattice="9.676 0.000 0.000 0.000 2.897 0.000 -1.170 0.000 4.387" Properties=species:S:1:pos:R:3 pbc="T T T"
Al 0.000 0.000 0.000
Al 1.282 0.000 2.834
Al 4.838 1.449 0.000
Al 6.120 1.449 2.834
As 3.696 0.000 2.000
As 8.534 1.449 2.000
Rh 2.107 1.449 0.554
Rh 6.945 0.000 0.554
```

Output
- energy relative to the elements (meV/atom) = -367
- M_tot (μB per atom) = 0.0000